1.
First-principles (PBE) data for crystalline Ba2P2Br at its relaxed geometry, as listed in Alexandria.

Summary:
As for the total DFT energy (no corrections): -4.530 eV/atom. The polymorph energy (0 for the lowest one) is 0.0000 eV/atom. As for the uncorrected formation energy: -1.262 eV per atom. Its crystal system is orthorhombic.

abc: 8.8069 17.5820 4.3868
angles: 90.00 90.00 90.00
Space group Imma (No. 74)
Inequivalent atoms, fractional coordinates:
Ba (0.2500, 0.1045, 0.2500) [8 per cell]
P (0.0000, 0.0341, 0.7123) [8 per cell]
Br (0.0000, 0.2500, 0.1379) [4 per cell]

---

2.
First-principles (PBE) data for crystalline Ba2P2Br at its relaxed geometry, as listed in Alexandria.

Summary:
As for the total DFT energy (no corrections): -4.495 eV/atom. The polymorph energy (0 for the lowest one) is 0.0348 eV/atom. As for the uncorrected formation energy: -1.227 eV per atom. Its crystal system is tetragonal.

abc: 8.8665 8.8665 4.2053
angles: 90.00 90.00 90.00
Space group P4/mbm (No. 127)
Inequivalent atoms, fractional coordinates:
Ba (0.1863, 0.3137, 0.0000) [4 per cell]
P (0.0858, 0.5858, 0.5000) [4 per cell]
Br (0.0000, 0.0000, 0.0000) [2 per cell]

---

3.
First-principles (PBE) data for crystalline Ba2PBr at its relaxed geometry, as listed in Alexandria.

Summary:
As for the total DFT energy (no corrections): -4.159 eV/atom. As for the uncorrected formation energy: -1.427 eV per atom. Its crystal system is tetragonal.

abc: 4.7506 4.7506 6.5381
angles: 90.00 90.00 90.00
Space group P4/mmm (No. 123)
Inequivalent atoms, fractional coordinates:
Ba (0.0000, 0.0000, 0.0000) [1 per cell]
Ba (0.5000, 0.5000, 0.5000) [1 per cell]
P (0.0000, 0.0000, 0.5000) [1 per cell]
Br (0.5000, 0.5000, 0.0000) [1 per cell]

---

4.
First-principles (PBE) data for crystalline BaPBr3 at its relaxed geometry, as listed in Alexandria.

Summary:
As for the total DFT energy (no corrections): -3.265 eV/atom. The polymorph energy (0 for the lowest one) is 0.0000 eV/atom. As for the uncorrected formation energy: -0.795 eV per atom. Its crystal system is cubic.

abc: 5.3945 5.3945 5.3945
angles: 90.00 90.00 90.00
Space group Pm-3m (No. 221)
Inequivalent atoms, fractional coordinates:
Ba (0.0000, 0.0000, 0.0000) [1 per cell]
P (0.5000, 0.5000, 0.5000) [1 per cell]
Br (0.0000, 0.5000, 0.5000) [3 per cell]

---

5.
First-principles (PBE) data for crystalline Ba2PBr at its relaxed geometry, as listed in Alexandria.

Summary:
As for the total DFT energy (no corrections): -4.028 eV/atom. As for the uncorrected formation energy: -1.296 eV per atom. Its crystal system is tetragonal.

abc: 7.4274 7.4274 14.4819
angles: 90.00 90.00 90.00
Space group I-42d (No. 122)
Inequivalent atoms, fractional coordinates:
Ba (0.2139, 0.2500, 0.1250) [8 per cell]
P (0.0000, 0.0000, 0.0000) [4 per cell]
Br (0.0000, 0.0000, 0.5000) [4 per cell]

---

6.
First-principles (PBE) data for crystalline Ba2PBr at its relaxed geometry, as listed in Alexandria.

Summary:
As for the total DFT energy (no corrections): -4.102 eV/atom. As for the uncorrected formation energy: -1.370 eV per atom. Its crystal system is orthorhombic.

abc: 4.2089 4.4025 16.4464
angles: 90.00 90.00 90.00
Space group Imm2 (No. 44)
Inequivalent atoms, fractional coordinates:
Ba (0.0000, 0.0000, 0.0000) [2 per cell]
Ba (0.0000, 0.5000, 0.2131) [2 per cell]
P (0.0000, 0.0000, 0.5754) [2 per cell]
Br (0.0000, 0.5000, 0.8194) [2 per cell]

---

Taking the records one at a time from the top gives calculated density values of 4.07 4.18 4.34 4.32 3.21 4.20 g/cm³.